{
  "formula": "SrYCoO4",
  "functional": "GGA+U",
  "state": "optimized geometry",
  "cell": [[5.3385, 0.0000, 0.0000], [0.0000, 5.5259, 0.0025], [-2.6692, -0.0276, 6.0475]],
  "species": ["Sr", "Sr", "Y", "Y", "Co", "Co", "O", "O", "O", "O", "O", "O", "O", "O"],
  "fractional_positions": [[0.3559, 0.0110, 0.7117], [0.8558, 0.4924, 0.7117], [0.1374, 0.5216, 0.2747], [0.6390, 0.9715, 0.2780], [0.4973, 0.4972, 0.9946], [0.0020, 0.9992, 0.0040], [0.1607, 0.9388, 0.3215], [0.6645, 0.5674, 0.3290], [0.3178, 0.4686, 0.6357], [0.8250, 0.0309, 0.6501], [0.7812, 0.2426, 0.0550], [0.2418, 0.7579, 0.9903], [0.2738, 0.2426, 0.0550], [0.7485, 0.7579, 0.9903]],
  "dft_energy_ev_per_cell": -99.40,
  "volume_a3_per_cell": 178.4
}

***

{
  "formula": "Sr2YCo2O6",
  "functional": "GGA+U",
  "state": "optimized geometry",
  "cell": [[-5.6048, -0.6838, 1.9614], [-1.3108, -4.3990, 3.8288], [-1.1967, 1.7896, 6.3122]],
  "species": ["Sr", "Sr", "Y", "Co", "Co", "O", "O", "O", "O", "O", "O"],
  "fractional_positions": [[0.7953, 0.7953, 0.6140], [0.2047, 0.2047, 0.3860], [0.0000, 0.0000, 0.0000], [0.4368, 0.4368, 0.6896], [0.5632, 0.5632, 0.3104], [0.7507, 0.7507, 0.2689], [0.2297, 0.7507, 0.2689], [0.7507, 0.2297, 0.2689], [0.2493, 0.7703, 0.7311], [0.7703, 0.2493, 0.7311], [0.2493, 0.2493, 0.7311]],
  "dft_energy_ev_per_cell": -72.35,
  "volume_a3_per_cell": 176.6
}

***

{
  "formula": "SrYCoO4",
  "functional": "GGA+U",
  "state": "optimized geometry",
  "cell": [[-6.2425, 0.8489, 1.9694], [-5.1886, -2.5704, 3.1684], [0.6032, 5.1637, 14.1956]],
  "species": ["Sr", "Sr", "Sr", "Sr", "Y", "Y", "Y", "Y", "Co", "Co", "Co", "Co", "O", "O", "O", "O", "O", "O", "O", "O", "O", "O", "O", "O", "O", "O", "O", "O"],
  "fractional_positions": [[0.6419, 0.6419, 0.5891], [0.6421, 0.6421, 0.3394], [0.6447, 0.6447, 0.0906], [0.6453, 0.6453, 0.8373], [0.3622, 0.3622, 0.4108], [0.3624, 0.3624, 0.1622], [0.3642, 0.3642, 0.9062], [0.3634, 0.3634, 0.6573], [0.0028, 0.0028, 0.2494], [0.0046, 0.0046, 0.9993], [0.0023, 0.0023, 0.4990], [0.0036, 0.0036, 0.7490], [0.8394, 0.8394, 0.5402], [0.8402, 0.8402, 0.2837], [0.8396, 0.8396, 0.0423], [0.8416, 0.8416, 0.7942], [0.1729, 0.1729, 0.4562], [0.1737, 0.1737, 0.2088], [0.1778, 0.1778, 0.9549], [0.1746, 0.1746, 0.7053], [0.4850, 0.4850, 0.5033], [0.4844, 0.4844, 0.2557], [0.4868, 0.4868, 0.0033], [0.4856, 0.4856, 0.7518], [0.9825, 0.9825, 0.3795], [0.9955, 0.9955, 0.1282], [0.9938, 0.9938, 0.8749], [0.9847, 0.9847, 0.6283]],
  "dft_energy_ev_per_cell": -198.29,
  "volume_a3_per_cell": 344.3
}

***

{
  "formula": "SrYCoO4",
  "functional": "GGA+U",
  "state": "optimized geometry",
  "cell": [[-4.1551, -4.4600, -2.6699], [7.1236, -2.4139, -1.5602], [-4.3358, -4.2846, 5.8539]],
  "species": ["Sr", "Sr", "Sr", "Sr", "Y", "Y", "Y", "Y", "Co", "Co", "Co", "Co", "O", "O", "O", "O", "O", "O", "O", "O", "O", "O", "O", "O", "O", "O", "O", "O"],
  "fractional_positions": [[0.2866, 0.4104, 0.1789], [0.2898, 0.9132, 0.1770], [0.2883, 0.1555, 0.6802], [0.2924, 0.6677, 0.6759], [0.7280, 0.5764, 0.8098], [0.7192, 0.0852, 0.8248], [0.7253, 0.3335, 0.2917], [0.7249, 0.8589, 0.3458], [0.9957, 0.9984, 0.0019], [0.0004, 0.7499, 0.4975], [0.0065, 0.5027, 0.9966], [0.0120, 0.2546, 0.4989], [0.6722, 0.4095, 0.0643], [0.6786, 0.0025, 0.0848], [0.6758, 0.1976, 0.6099], [0.6835, 0.7295, 0.5659], [0.3681, 0.5613, 0.9109], [0.3365, 0.0225, 0.9143], [0.3566, 0.3007, 0.4087], [0.3513, 0.7898, 0.4132], [0.0088, 0.3884, 0.7498], [0.9569, 0.8562, 0.7596], [0.9590, 0.1196, 0.2641], [0.9859, 0.6272, 0.2490], [0.9285, 0.7493, 0.0238], [0.0141, 0.2449, 0.9930], [0.9554, 0.4929, 0.4995], [0.9996, 0.0018, 0.5102]],
  "dft_energy_ev_per_cell": -198.51,
  "volume_a3_per_cell": 351.7
}

***

{
  "formula": "Sr3ZnCoO6",
  "functional": "GGA+U",
  "state": "optimized geometry",
  "cell": [[-4.0045, 2.7167, -4.5342], [-4.5264, 0.6296, 4.8053], [2.7927, 5.8348, 1.4599]],
  "species": ["Sr", "Sr", "Sr", "Sr", "Sr", "Sr", "Zn", "Zn", "Co", "Co", "O", "O", "O", "O", "O", "O", "O", "O", "O", "O", "O", "O"],
  "fractional_positions": [[0.8850, 0.6150, 0.2500], [0.2500, 0.8850, 0.6150], [0.6150, 0.2500, 0.8850], [0.7500, 0.1150, 0.3850], [0.3850, 0.7500, 0.1150], [0.1150, 0.3850, 0.7500], [0.2500, 0.2500, 0.2500], [0.7500, 0.7500, 0.7500], [0.5000, 0.5000, 0.5000], [0.0000, 0.0000, 0.0000], [0.2245, 0.5411, 0.4124], [0.4124, 0.2245, 0.5411], [0.5411, 0.4124, 0.2245], [0.9124, 0.0411, 0.7245], [0.7245, 0.9124, 0.0411], [0.0411, 0.7245, 0.9124], [0.7755, 0.4589, 0.5876], [0.5876, 0.7755, 0.4589], [0.4589, 0.5876, 0.7755], [0.0876, 0.9589, 0.2755], [0.2755, 0.0876, 0.9589], [0.9589, 0.2755, 0.0876]],
  "dft_energy_ev_per_cell": -126.66,
  "volume_a3_per_cell": 290.7
}

***

{
  "formula": "Sr3Zn2CoO6",
  "functional": "GGA+U",
  "state": "optimized geometry",
  "cell": [[-1.4226, 1.4846, 5.3284], [4.4258, -3.4946, -0.9057], [3.8941, 5.0252, -0.3604]],
  "species": ["Sr", "Sr", "Sr", "Zn", "Zn", "Co", "O", "O", "O", "O", "O", "O"],
  "fractional_positions": [[0.3333, 0.6667, 0.6292], [0.6667, 0.3333, 0.3708], [0.0000, 0.0000, 0.0000], [0.6667, 0.3333, 0.8257], [0.3333, 0.6667, 0.1743], [0.0000, 0.0000, 0.5000], [0.6788, 0.8394, 0.3140], [0.1606, 0.3212, 0.3140], [0.1606, 0.8394, 0.3140], [0.8394, 0.6788, 0.6860], [0.3212, 0.1606, 0.6860], [0.8394, 0.1606, 0.6860]],
  "dft_energy_ev_per_cell": -62.55,
  "volume_a3_per_cell": 179.9
}

***

{
  "formula": "Sr3ZnCoO6",
  "functional": "GGA+U",
  "state": "optimized geometry",
  "cell": [[0.0187, -3.8973, 5.2920], [7.3740, -4.1695, -3.8423], [5.6598, 6.3845, 4.5240]],
  "species": ["Sr", "Sr", "Sr", "Sr", "Sr", "Sr", "Sr", "Sr", "Sr", "Sr", "Sr", "Sr", "Zn", "Zn", "Zn", "Zn", "Co", "Co", "Co", "Co", "O", "O", "O", "O", "O", "O", "O", "O", "O", "O", "O", "O", "O", "O", "O", "O", "O", "O", "O", "O", "O", "O", "O", "O"],
  "fractional_positions": [[0.3808, 0.4288, 0.6842], [0.3905, 0.9372, 0.1802], [0.1187, 0.5739, 0.1824], [0.1125, 0.0640, 0.6827], [0.7551, 0.2543, 0.1332], [0.7447, 0.7430, 0.6389], [0.8813, 0.4261, 0.8176], [0.8875, 0.9360, 0.3173], [0.2449, 0.7457, 0.8668], [0.2553, 0.2570, 0.3611], [0.6192, 0.5712, 0.3158], [0.6095, 0.0628, 0.8198], [0.7501, 0.7492, 0.9999], [0.7446, 0.2576, 0.4913], [0.2499, 0.2508, 0.0001], [0.2554, 0.7424, 0.5087], [0.5000, 0.0000, 0.5000], [0.0000, 0.0000, 0.0000], [0.5000, 0.5000, 0.0000], [0.0000, 0.5000, 0.5000], [0.4637, 0.6836, 0.0935], [0.4635, 0.1799, 0.6005], [0.7767, 0.5220, 0.0629], [0.7650, 0.0063, 0.5678], [0.5880, 0.6117, 0.8419], [0.6075, 0.1329, 0.3362], [0.9615, 0.1803, 0.9046], [0.9688, 0.6884, 0.4159], [0.0776, 0.6032, 0.6668], [0.0912, 0.1174, 0.1577], [0.2807, 0.5234, 0.4439], [0.2743, 0.0188, 0.9370], [0.5363, 0.3164, 0.9065], [0.5365, 0.8201, 0.3995], [0.2233, 0.4780, 0.9371], [0.2350, 0.9937, 0.4322], [0.4120, 0.3883, 0.1581], [0.3925, 0.8671, 0.6638], [0.0385, 0.8197, 0.0954], [0.0312, 0.3116, 0.5841], [0.9224, 0.3968, 0.3332], [0.9088, 0.8826, 0.8423], [0.7193, 0.4766, 0.5561], [0.7257, 0.9812, 0.0630]],
  "dft_energy_ev_per_cell": -254.08,
  "volume_a3_per_cell": 588.9
}

***

{
  "formula": "Sr2ZnCoO",
  "functional": "GGA+U",
  "state": "optimized geometry",
  "cell": [[-2.1302, 2.8947, -4.1109], [0.0252, -3.5744, -2.5300], [-5.0277, -1.2543, 1.7220]],
  "species": ["Sr", "Sr", "Zn", "Co", "O"],
  "fractional_positions": [[0.0000, 0.0000, 0.5000], [0.5000, 0.0000, 0.0000], [0.0000, 0.5000, 0.0000], [0.0000, 0.0000, 0.0000], [0.5000, 0.5000, 0.5000]],
  "dft_energy_ev_per_cell": -14.17,
  "volume_a3_per_cell": 130.6
}

***

Please write out number 1 again, unchanged.
{
  "formula": "SrYCoO4",
  "functional": "GGA+U",
  "state": "optimized geometry",
  "cell": [[5.3385, 0.0000, 0.0000], [0.0000, 5.5259, 0.0025], [-2.6692, -0.0276, 6.0475]],
  "species": ["Sr", "Sr", "Y", "Y", "Co", "Co", "O", "O", "O", "O", "O", "O", "O", "O"],
  "fractional_positions": [[0.3559, 0.0110, 0.7117], [0.8558, 0.4924, 0.7117], [0.1374, 0.5216, 0.2747], [0.6390, 0.9715, 0.2780], [0.4973, 0.4972, 0.9946], [0.0020, 0.9992, 0.0040], [0.1607, 0.9388, 0.3215], [0.6645, 0.5674, 0.3290], [0.3178, 0.4686, 0.6357], [0.8250, 0.0309, 0.6501], [0.7812, 0.2426, 0.0550], [0.2418, 0.7579, 0.9903], [0.2738, 0.2426, 0.0550], [0.7485, 0.7579, 0.9903]],
  "dft_energy_ev_per_cell": -99.40,
  "volume_a3_per_cell": 178.4
}